First-principles (PBEsol) data for crystalline ZnCo3 at its relaxed geometry, as listed in Alexandria via LeMat-Bulk.

## Properties
- magnetic moment (μB/f.u.) = 4.40
- calculated formation energy (kJ per mole of atoms) = 5.6

CIF file:
```
data_ZnCo3
_cell_length_a 2.778
_cell_length_b 3.964
_cell_length_c 7.958
_cell_angle_alpha 90.00
_cell_angle_beta 90.00
_cell_angle_gamma 90.00
_space_group_name_H-M_alt 'I m m m'
_space_group_IT_number 71
_space_group_name_Hall '-I 2 2'
loop_
_atom_site_label
_atom_site_type_symbol
_atom_site_fract_x
_atom_site_fract_y
_atom_site_fract_z
Zn1 Zn 0.000 0.000 0.000
Co1 Co 0.000 0.000 0.500
Co2 Co 0.000 0.500 0.245
```

First-principles (PBEsol) data for crystalline Zn3Co at its relaxed geometry, as listed in Alexandria via LeMat-Bulk.

## Properties
- magnetic moment (μB/f.u.) = 0.74
- calculated formation energy (kJ per mole of atoms) = -1.9

CIF file:
```
data_Zn3Co
_cell_length_a 4.582
_cell_length_b 8.363
_cell_length_c 5.212
_cell_angle_alpha 90.00
_cell_angle_beta 90.00
_cell_angle_gamma 90.00
_space_group_name_H-M_alt 'P n m a'
_space_group_IT_number 62
loop_
_space_group_symop_operation_xyz
'x,y,z'
'-x,-y,-z'
'-x+1/2,-y,z+1/2'
'x+1/2,y,-z+1/2'
'x+1/2,-y+1/2,-z+1/2'
'-x+1/2,y+1/2,z+1/2'
'-x,y+1/2,-z'
'x,-y+1/2,z'
loop_
_atom_site_label
_atom_site_type_symbol
_atom_site_fract_x
_atom_site_fract_y
_atom_site_fract_z
Zn1 Zn 0.069 0.250 0.119
Zn2 Zn 0.237 0.508 0.373
Co1 Co 0.093 0.250 0.625
```

First-principles (PBEsol) data for crystalline ZnCo at its relaxed geometry, as listed in Alexandria via LeMat-Bulk.

## Properties
- magnetic moment (μB/f.u.) = 1.21
- calculated formation energy (kJ per mole of atoms) = 94.7

CIF file:
```
data_ZnCo
_cell_length_a 4.0380
_cell_length_b 4.0380
_cell_length_c 4.6702
_cell_angle_alpha 90.00
_cell_angle_beta 90.00
_cell_angle_gamma 120.00
_space_group_name_H-M_alt 'P 63/m m c'
_space_group_IT_number 194
_space_group_name_Hall '-P 6c 2c'
loop_
_atom_site_label
_atom_site_type_symbol
_atom_site_fract_x
_atom_site_fract_y
_atom_site_fract_z
Zn1 Zn 0.3333 0.6667 0.2500
Co1 Co 0.3333 0.6667 0.7500
```

First-principles (PBEsol) data for crystalline Zn3Co at its relaxed geometry, as listed in Alexandria via LeMat-Bulk.

## Properties
- magnetic moment (μB/f.u.) = 0.00
- calculated formation energy (kJ per mole of atoms) = -0.5

CIF file:
```
data_Zn3Co
_cell_length_a 5.819
_cell_length_b 5.819
_cell_length_c 5.819
_cell_angle_alpha 90.00
_cell_angle_beta 90.00
_cell_angle_gamma 90.00
_space_group_name_H-M_alt 'F m -3 m'
_space_group_IT_number 225
_space_group_name_Hall '-F 4 2 3'
loop_
_atom_site_label
_atom_site_type_symbol
_atom_site_fract_x
_atom_site_fract_y
_atom_site_fract_z
Zn1 Zn 0.000 0.000 0.000
Zn2 Zn 0.250 0.250 0.250
Co1 Co 0.000 0.000 0.500
```

First-principles (PBEsol) data for crystalline Zn2Co at its relaxed geometry, as listed in Alexandria via LeMat-Bulk.

## Properties
- magnetic moment (μB/f.u.) = 0.97
- calculated formation energy (kJ per mole of atoms) = -1.4

CIF file:
```
data_Zn2Co
_cell_length_a 9.440
_cell_length_b 2.620
_cell_length_c 6.093
_cell_angle_alpha 90.00
_cell_angle_beta 104.94
_cell_angle_gamma 90.00
_space_group_name_H-M_alt 'C 1 m 1'
_space_group_IT_number 8
loop_
_space_group_symop_operation_xyz
'x,y,z'
'x,-y,z'
'x+1/2,y+1/2,z'
'x+1/2,-y+1/2,z'
loop_
_atom_site_label
_atom_site_type_symbol
_atom_site_fract_x
_atom_site_fract_y
_atom_site_fract_z
Zn1 Zn 0.000 0.000 0.000
Zn2 Zn 0.049 0.000 0.599
Zn3 Zn 0.222 0.500 0.933
Zn4 Zn 0.380 0.000 0.279
Co1 Co 0.167 0.500 0.338
Co2 Co 0.324 0.000 0.654
```

First-principles (PBEsol) data for crystalline ZnCo5 at its relaxed geometry, as listed in Alexandria via LeMat-Bulk.

## Properties
- magnetic moment (μB/f.u.) = 7.38
- calculated formation energy (kJ per mole of atoms) = 1.5

CIF file:
```
data_ZnCo5
_cell_length_a 2.484
_cell_length_b 4.017
_cell_length_c 6.545
_cell_angle_alpha 90.00
_cell_angle_beta 101.02
_cell_angle_gamma 90.00
_space_group_name_H-M_alt 'P 1 m 1'
_space_group_IT_number 6
loop_
_space_group_symop_operation_xyz
'x,y,z'
'x,-y,z'
loop_
_atom_site_label
_atom_site_type_symbol
_atom_site_fract_x
_atom_site_fract_y
_atom_site_fract_z
Zn1 Zn 0.000 0.000 0.000
Co1 Co 0.223 0.500 0.445
Co2 Co 0.329 0.000 0.658
Co3 Co 0.559 0.500 0.117
Co4 Co 0.670 0.000 0.341
Co5 Co 0.887 0.500 0.773
```

First-principles (PBEsol) data for crystalline ZnCo2 at its relaxed geometry, as listed in Alexandria via LeMat-Bulk.

## Properties
- magnetic moment (μB/f.u.) = 2.78
- calculated formation energy (kJ per mole of atoms) = 0.3

CIF file:
```
data_ZnCo2
_cell_length_a 2.567
_cell_length_b 3.366
_cell_length_c 7.719
_cell_angle_alpha 90.00
_cell_angle_beta 90.00
_cell_angle_gamma 90.00
_space_group_name_H-M_alt 'I m m m'
_space_group_IT_number 71
_space_group_name_Hall '-I 2 2'
loop_
_atom_site_label
_atom_site_type_symbol
_atom_site_fract_x
_atom_site_fract_y
_atom_site_fract_z
Zn1 Zn 0.000 0.000 0.000
Co1 Co 0.000 0.000 0.325
```

First-principles (PBEsol) data for crystalline ZnCo3 at its relaxed geometry, as listed in Alexandria via LeMat-Bulk.

## Properties
- magnetic moment (μB/f.u.) = 4.17
- calculated formation energy (kJ per mole of atoms) = 3.7

CIF file:
```
data_ZnCo3
_cell_length_a 8.270
_cell_length_b 2.509
_cell_length_c 4.280
_cell_angle_alpha 90.00
_cell_angle_beta 101.02
_cell_angle_gamma 90.00
_space_group_name_H-M_alt 'C 1 2/m 1'
_space_group_IT_number 12
loop_
_space_group_symop_operation_xyz
'x,y,z'
'-x,-y,-z'
'-x,y,-z'
'x,-y,z'
'x+1/2,y+1/2,z'
'-x+1/2,-y+1/2,-z'
'-x+1/2,y+1/2,-z'
'x+1/2,-y+1/2,z'
loop_
_atom_site_label
_atom_site_type_symbol
_atom_site_fract_x
_atom_site_fract_y
_atom_site_fract_z
Zn1 Zn 0.000 0.000 0.000
Co1 Co 0.000 0.500 0.500
Co2 Co 0.244 0.000 0.739
```

First-principles (PBEsol) data for crystalline ZnCo2 at its relaxed geometry, as listed in Alexandria via LeMat-Bulk.

## Properties
- magnetic moment (μB/f.u.) = 2.68
- calculated formation energy (kJ per mole of atoms) = 4.5

CIF file:
```
data_ZnCo2
_cell_length_a 9.191
_cell_length_b 2.555
_cell_length_c 5.908
_cell_angle_alpha 90.00
_cell_angle_beta 105.81
_cell_angle_gamma 90.00
_space_group_name_H-M_alt 'C 1 m 1'
_space_group_IT_number 8
loop_
_space_group_symop_operation_xyz
'x,y,z'
'x,-y,z'
'x+1/2,y+1/2,z'
'x+1/2,-y+1/2,z'
loop_
_atom_site_label
_atom_site_type_symbol
_atom_site_fract_x
_atom_site_fract_y
_atom_site_fract_z
Zn1 Zn 0.000 0.000 0.000
Zn2 Zn 0.170 0.500 0.347
Co1 Co 0.127 0.500 0.742
Co2 Co 0.286 0.000 0.073
Co3 Co 0.338 0.000 0.674
Co4 Co 0.449 0.500 0.418
```

First-principles (PBEsol) data for crystalline ZnCo3 at its relaxed geometry, as listed in Alexandria via LeMat-Bulk.

## Properties
- magnetic moment (μB/f.u.) = 4.31
- calculated formation energy (kJ per mole of atoms) = 4.3

CIF file:
```
data_ZnCo3
_cell_length_a 2.523
_cell_length_b 4.037
_cell_length_c 4.289
_cell_angle_alpha 90.00
_cell_angle_beta 90.00
_cell_angle_gamma 90.00
_space_group_name_H-M_alt 'P m m 2'
_space_group_IT_number 25
loop_
_space_group_symop_operation_xyz
'x,y,z'
'-x,-y,z'
'-x,y,z'
'x,-y,z'
loop_
_atom_site_label
_atom_site_type_symbol
_atom_site_fract_x
_atom_site_fract_y
_atom_site_fract_z
Zn1 Zn 0.000 0.000 0.000
Co1 Co 0.000 0.500 0.662
Co2 Co 0.500 0.000 0.498
Co3 Co 0.500 0.500 0.175
```

First-principles (PBEsol) data for crystalline ZnCo3 at its relaxed geometry, as listed in Alexandria via LeMat-Bulk.

## Properties
- magnetic moment (μB/f.u.) = 4.11
- calculated formation energy (kJ per mole of atoms) = 1.6

CIF file:
```
data_ZnCo3
_cell_length_a 2.5017
_cell_length_b 2.5017
_cell_length_c 8.0137
_cell_angle_alpha 90.00
_cell_angle_beta 90.00
_cell_angle_gamma 120.00
_space_group_name_H-M_alt 'P -6 m 2'
_space_group_IT_number 187
_space_group_name_Hall 'P -6 2'
loop_
_atom_site_label
_atom_site_type_symbol
_atom_site_fract_x
_atom_site_fract_y
_atom_site_fract_z
Zn1 Zn 0.0000 0.0000 0.0000
Co1 Co 0.0000 0.0000 0.5000
Co2 Co 0.3333 0.6667 0.2612
```

First-principles (PBEsol) data for crystalline ZnCo3 at its relaxed geometry, as listed in Alexandria via LeMat-Bulk.

## Properties
- magnetic moment (μB/f.u.) = 4.24
- calculated formation energy (kJ per mole of atoms) = 4.8

CIF file:
```
data_ZnCo3
_cell_length_a 2.567
_cell_length_b 8.103
_cell_length_c 4.199
_cell_angle_alpha 90.00
_cell_angle_beta 90.00
_cell_angle_gamma 90.00
_space_group_name_H-M_alt 'I m m 2'
_space_group_IT_number 44
loop_
_space_group_symop_operation_xyz
'x,y,z'
'-x,-y,z'
'-x,y,z'
'x,-y,z'
'x+1/2,y+1/2,z+1/2'
'-x+1/2,-y+1/2,z+1/2'
'-x+1/2,y+1/2,z+1/2'
'x+1/2,-y+1/2,z+1/2'
loop_
_atom_site_label
_atom_site_type_symbol
_atom_site_fract_x
_atom_site_fract_y
_atom_site_fract_z
Zn1 Zn 0.000 0.000 0.000
Co1 Co 0.000 0.243 0.375
Co2 Co 0.000 0.500 0.003
```